Entry 1:
LiGaSi | PBE-GGA | optimized geometry

Cell and atoms, written as POSCAR:
```
LiGaSi
1.0
3.2915 0.0000 0.0000
0.0000 3.9170 0.0000
0.0000 0.0000 4.4761
Li Ga Si
1 1 1
Cartesian
0.0000 0.0000 0.0000
0.0000 1.9585 2.2381
1.6457 0.0000 2.2381
```

Output
Fermi-level density of states = 1.010 states/eV/f.u.
final energy = -0.2485 Ry/atom
total moment = 0.00 μB/cell
theoretical density = 3.0 Mg/m³


Entry 2:
CaZrBeSi2 | PBE-GGA | optimized geometry

Cell and atoms, written as POSCAR:
```
CaZrBeSi2
1.0
5.0711 0.0000 0.0000
0.0000 5.0711 0.0000
0.0000 0.0000 5.8967
Ca Zr Be Si
1 1 1 2
Cartesian
0.0000 0.0000 0.0000
0.0000 0.0000 2.9483
2.5355 2.5355 0.0000
0.0000 2.5355 2.9483
2.5355 0.0000 2.9483
```

Output
Fermi-level density of states = 3.946 states/eV/f.u.
final energy = -0.2830 Ry/atom
total moment = 0.00 μB/cell
theoretical density = 2.2 Mg/m³


Entry 3:
CrIr2Pt | PBE-GGA | optimized geometry

Cell and atoms, written as POSCAR:
```
CrIr2Pt
1.0
1.3587 0.7844 8.8760
-1.3587 0.7844 8.8760
0.0000 -1.5689 8.8760
Cr Ir Pt
1 2 1
Cartesian
0.0000 0.0000 0.0000
0.0000 0.0000 6.8400
0.0000 0.0000 13.4083
0.0000 0.0000 19.8953
```

Output
Fermi-level density of states = 6.068 states/eV/f.u.
final energy = -0.6156 Ry/atom
total moment = 0.01 μB/cell
theoretical density = 18.5 Mg/m³


Entry 4:
ErH11Rh5 | PBE-GGA | optimized geometry

Cell and atoms, written as POSCAR:
```
ErH11Rh5
1.0
3.6264 -3.8854 0.0000
3.6264 3.8854 0.0000
-1.7766 0.0000 5.0872
Er H Rh
1 11 5
Cartesian
0.0000 0.0000 0.0000
-0.8883 0.0000 2.5436
1.8314 1.9839 3.2893
2.1684 1.0351 0.3170
1.0022 0.0000 3.4819
3.6447 1.9839 1.7980
2.1684 -1.0351 0.3170
3.3077 1.0351 4.7702
1.8314 -1.9839 3.2893
4.4739 0.0000 1.6053
3.3077 -1.0351 4.7702
3.6447 -1.9839 1.7980
1.8484 2.3525 1.4767
3.6277 2.3525 3.6105
3.6264 0.0000 0.0000
1.8484 -2.3525 1.4767
3.6277 -2.3525 3.6105
```

Output
Fermi-level density of states = 4.053 states/eV/f.u.
final energy = -0.3445 Ry/atom
total moment = 0.00 μB/cell
theoretical density = 8.0 Mg/m³


Entry 5:
SmY2Al9 | PBE-GGA | optimized geometry

Cell and atoms, written as POSCAR:
```
SmY2Al9
1.0
2.7976 1.6152 8.7690
-2.7976 1.6152 8.7690
0.0000 -3.2304 8.7690
Sm Y Al
1 2 9
Cartesian
0.0000 0.0000 0.0000
0.0000 0.0000 3.7310
0.0000 0.0000 22.5759
-1.4302 -0.8258 10.9678
0.0000 0.0000 8.8260
0.0000 -1.6515 15.3390
-1.4303 0.8258 15.3390
0.0000 0.0000 13.1534
1.4302 -0.8258 10.9678
0.0000 1.6515 10.9678
0.0000 0.0000 17.4809
1.4303 0.8258 15.3390
```

Output
Fermi-level density of states = 4.882 states/eV/f.u.
final energy = -0.3429 Ry/atom
total moment = 0.00 μB/cell
theoretical density = 4.0 Mg/m³


Entry 6:
CsFe2CN | PBE-GGA | optimized geometry

Cell and atoms, written as POSCAR:
```
CsFe2CN
1.0
3.7046 0.0000 0.0000
0.0000 3.7046 0.0000
0.0000 0.0000 7.2934
Cs Fe C N
1 2 1 1
Cartesian
0.0000 0.0000 0.0000
0.0000 1.8523 3.6467
1.8523 0.0000 3.6467
1.8523 1.8523 3.6467
1.8523 1.8523 0.0000
```

Output
Fermi-level density of states = 3.403 states/eV/f.u.
final energy = -0.4141 Ry/atom
total moment = 4.51 μB/cell
theoretical density = 4.5 Mg/m³


What is the formula in the sixth record? CsFe2CN